a | # Sm2LuMg

An optimized crystal structure of Sm2LuMg (PBE, Alexandria via LeMat-Bulk).

Values from the calculation:
Size of the total moment, Bohr magnetons per cell: 0.00
Space-group type: No. 123

Structure (CIF):
```
data_Sm2LuMg
_chemical_formula_sum 'Sm2 Lu1 Mg1'
_cell_length_a 3.658
_cell_length_b 3.658
_cell_length_c 9.010
_cell_angle_alpha 90.00
_cell_angle_beta 90.00
_cell_angle_gamma 90.00
_space_group_name_H-M_alt 'P 1'
_space_group_IT_number 1
_space_group_name_Hall 'P 1'
loop_
_atom_site_label
_atom_site_type_symbol
_atom_site_fract_x
_atom_site_fract_y
_atom_site_fract_z
Sm1 Sm 0.000 0.000 0.765
Sm2 Sm 0.000 0.000 0.235
Lu1 Lu 0.500 0.500 0.500
Mg1 Mg 0.500 0.500 0.000
```

---

b | # Sm2LuMg

An optimized crystal structure of Sm2LuMg (PBE, Alexandria via LeMat-Bulk).

Values from the calculation:
Size of the total moment, Bohr magnetons per cell: 0.00
Space-group type: No. 225

Structure (CIF):
```
data_Sm2LuMg
_chemical_formula_sum 'Sm2 Lu1 Mg1'
_cell_length_a 5.526
_cell_length_b 5.526
_cell_length_c 5.526
_cell_angle_alpha 60.00
_cell_angle_beta 60.00
_cell_angle_gamma 60.00
_space_group_name_H-M_alt 'P 1'
_space_group_IT_number 1
_space_group_name_Hall 'P 1'
loop_
_atom_site_label
_atom_site_type_symbol
_atom_site_fract_x
_atom_site_fract_y
_atom_site_fract_z
Sm1 Sm 0.750 0.750 0.750
Sm2 Sm 0.250 0.250 0.250
Lu1 Lu 0.000 0.000 0.000
Mg1 Mg 0.500 0.500 0.500
```

---

c | # Sm2LuMg

An optimized crystal structure of Sm2LuMg (PBE, Alexandria via LeMat-Bulk).

Values from the calculation:
Size of the total moment, Bohr magnetons per cell: 0.00
Space-group type: No. 166

Structure (CIF):
```
data_Sm2LuMg
_chemical_formula_sum 'Sm2 Lu1 Mg1'
_cell_length_a 3.455
_cell_length_b 3.455
_cell_length_c 12.471
_cell_angle_alpha 82.04
_cell_angle_beta 82.04
_cell_angle_gamma 60.00
_space_group_name_H-M_alt 'P 1'
_space_group_IT_number 1
_space_group_name_Hall 'P 1'
loop_
_atom_site_label
_atom_site_type_symbol
_atom_site_fract_x
_atom_site_fract_y
_atom_site_fract_z
Lu1 Lu 0.500 0.500 0.500
Mg1 Mg 0.000 0.000 0.000
Sm1 Sm 0.090 0.090 0.730
Sm2 Sm 0.910 0.910 0.270
```

---

Most stable = a

---

a | # SmLuMg2

An optimized crystal structure of SmLuMg2 (PBE, Alexandria via LeMat-Bulk).

Values from the calculation:
Size of the total moment, Bohr magnetons per cell: 0.00
Space-group type: No. 225

Structure (CIF):
```
data_SmLuMg2
_chemical_formula_sum 'Sm1 Lu1 Mg2'
_cell_length_a 5.358
_cell_length_b 5.358
_cell_length_c 5.358
_cell_angle_alpha 60.00
_cell_angle_beta 60.00
_cell_angle_gamma 60.00
_space_group_name_H-M_alt 'P 1'
_space_group_IT_number 1
_space_group_name_Hall 'P 1'
loop_
_atom_site_label
_atom_site_type_symbol
_atom_site_fract_x
_atom_site_fract_y
_atom_site_fract_z
Sm1 Sm 0.500 0.500 0.500
Mg1 Mg 0.750 0.750 0.750
Mg2 Mg 0.250 0.250 0.250
Lu1 Lu 0.000 0.000 0.000
```

---

b | # SmLuMg2

An optimized crystal structure of SmLuMg2 (PBE, Alexandria via LeMat-Bulk).

Values from the calculation:
Size of the total moment, Bohr magnetons per cell: 0.00
Space-group type: No. 123

Structure (CIF):
```
data_SmLuMg2
_chemical_formula_sum 'Sm1 Lu1 Mg2'
_cell_length_a 3.858
_cell_length_b 5.308
_cell_length_c 5.308
_cell_angle_alpha 90.00
_cell_angle_beta 90.00
_cell_angle_gamma 90.00
_space_group_name_H-M_alt 'P 1'
_space_group_IT_number 1
_space_group_name_Hall 'P 1'
loop_
_atom_site_label
_atom_site_type_symbol
_atom_site_fract_x
_atom_site_fract_y
_atom_site_fract_z
Sm1 Sm 0.500 0.000 0.000
Mg1 Mg 0.000 0.000 0.500
Mg2 Mg 0.000 0.500 0.000
Lu1 Lu 0.500 0.500 0.500
```

---

Most stable = a

---

a | # SrLuMg2

An optimized crystal structure of SrLuMg2 (PBE, Alexandria via LeMat-Bulk).

Values from the calculation:
Size of the total moment, Bohr magnetons per cell: 0.00
Space-group type: No. 225

Structure (CIF):
```
data_SrLuMg2
_chemical_formula_sum 'Sr1 Lu1 Mg2'
_cell_length_a 5.587
_cell_length_b 5.587
_cell_length_c 5.587
_cell_angle_alpha 60.00
_cell_angle_beta 60.00
_cell_angle_gamma 60.00
_space_group_name_H-M_alt 'P 1'
_space_group_IT_number 1
_space_group_name_Hall 'P 1'
loop_
_atom_site_label
_atom_site_type_symbol
_atom_site_fract_x
_atom_site_fract_y
_atom_site_fract_z
Mg1 Mg 0.250 0.250 0.250
Mg2 Mg 0.750 0.750 0.750
Sr1 Sr 0.500 0.500 0.500
Lu1 Lu 0.000 0.000 0.000
```

---

b | # SrLuMg2

An optimized crystal structure of SrLuMg2 (PBE, Alexandria via LeMat-Bulk).

Values from the calculation:
Size of the total moment, Bohr magnetons per cell: 0.00
Space-group type: No. 123

Structure (CIF):
```
data_SrLuMg2
_chemical_formula_sum 'Sr1 Lu1 Mg2'
_cell_length_a 3.928
_cell_length_b 3.928
_cell_length_c 8.016
_cell_angle_alpha 90.00
_cell_angle_beta 90.00
_cell_angle_gamma 90.00
_space_group_name_H-M_alt 'P 1'
_space_group_IT_number 1
_space_group_name_Hall 'P 1'
loop_
_atom_site_label
_atom_site_type_symbol
_atom_site_fract_x
_atom_site_fract_y
_atom_site_fract_z
Mg1 Mg 0.000 0.000 0.213
Mg2 Mg 0.000 0.000 0.787
Lu1 Lu 0.500 0.500 0.000
Sr1 Sr 0.500 0.500 0.500
```

---

Most stable = b

---

a | # SrLuMg

An optimized crystal structure of SrLuMg (PBE, Alexandria via LeMat-Bulk).

Values from the calculation:
Size of the total moment, Bohr magnetons per cell: 0.02
Space-group type: No. 107

Structure (CIF):
```
data_SrLuMg
_chemical_formula_sum 'Sr1 Lu1 Mg1'
_cell_length_a 3.819
_cell_length_b 3.819
_cell_length_c 7.472
_cell_angle_alpha 104.81
_cell_angle_beta 104.81
_cell_angle_gamma 90.00
_space_group_name_H-M_alt 'P 1'
_space_group_IT_number 1
_space_group_name_Hall 'P 1'
loop_
_atom_site_label
_atom_site_type_symbol
_atom_site_fract_x
_atom_site_fract_y
_atom_site_fract_z
Lu1 Lu 0.308 0.308 0.616
Sr1 Sr 0.011 0.011 0.021
Mg1 Mg 0.681 0.681 0.362
```

---

b | # SrLuMg

An optimized crystal structure of SrLuMg (PBE, Alexandria via LeMat-Bulk).

Values from the calculation:
Size of the total moment, Bohr magnetons per cell: 0.00
Space-group type: No. 156

Structure (CIF):
```
data_SrLuMg
_chemical_formula_sum 'Sr1 Lu1 Mg1'
_cell_length_a 3.484
_cell_length_b 5.742
_cell_length_c 5.742
_cell_angle_alpha 120.00
_cell_angle_beta 90.00
_cell_angle_gamma 90.00
_space_group_name_H-M_alt 'P 1'
_space_group_IT_number 1
_space_group_name_Hall 'P 1'
loop_
_atom_site_label
_atom_site_type_symbol
_atom_site_fract_x
_atom_site_fract_y
_atom_site_fract_z
Lu1 Lu 0.026 0.000 0.000
Mg1 Mg 0.324 0.333 0.667
Sr1 Sr 0.650 0.667 0.333
```

---

Most stable = a

---

a | # TbLuMg

An optimized crystal structure of TbLuMg (PBE, Alexandria via LeMat-Bulk).

Values from the calculation:
Size of the total moment, Bohr magnetons per cell: 0.00
Space-group type: No. 156

Structure (CIF):
```
data_TbLuMg
_chemical_formula_sum 'Tb1 Lu1 Mg1'
_cell_length_a 3.349
_cell_length_b 5.403
_cell_length_c 5.403
_cell_angle_alpha 120.00
_cell_angle_beta 90.00
_cell_angle_gamma 90.00
_space_group_name_H-M_alt 'P 1'
_space_group_IT_number 1
_space_group_name_Hall 'P 1'
loop_
_atom_site_label
_atom_site_type_symbol
_atom_site_fract_x
_atom_site_fract_y
_atom_site_fract_z
Lu1 Lu 0.054 0.000 0.000
Tb1 Tb 0.628 0.667 0.333
Mg1 Mg 0.318 0.333 0.667
```

---

b | # TbLuMg

An optimized crystal structure of TbLuMg (PBE, Alexandria via LeMat-Bulk).

Values from the calculation:
Size of the total moment, Bohr magnetons per cell: 0.48
Space-group type: No. 107

Structure (CIF):
```
data_TbLuMg
_chemical_formula_sum 'Tb1 Lu1 Mg1'
_cell_length_a 3.548
_cell_length_b 3.548
_cell_length_c 7.187
_cell_angle_alpha 104.29
_cell_angle_beta 104.29
_cell_angle_gamma 90.00
_space_group_name_H-M_alt 'P 1'
_space_group_IT_number 1
_space_group_name_Hall 'P 1'
loop_
_atom_site_label
_atom_site_type_symbol
_atom_site_fract_x
_atom_site_fract_y
_atom_site_fract_z
Lu1 Lu 0.328 0.328 0.655
Mg1 Mg 0.669 0.669 0.338
Tb1 Tb 0.003 0.003 0.007
```

---

Most stable = b

---

a | # TbLu2Mg

An optimized crystal structure of TbLu2Mg (PBE, Alexandria via LeMat-Bulk).

Values from the calculation:
Size of the total moment, Bohr magnetons per cell: 0.01
Space-group type: No. 225

Structure (CIF):
```
data_TbLu2Mg
_chemical_formula_sum 'Tb1 Lu2 Mg1'
_cell_length_a 5.438
_cell_length_b 5.438
_cell_length_c 5.438
_cell_angle_alpha 60.00
_cell_angle_beta 60.00
_cell_angle_gamma 60.00
_space_group_name_H-M_alt 'P 1'
_space_group_IT_number 1
_space_group_name_Hall 'P 1'
loop_
_atom_site_label
_atom_site_type_symbol
_atom_site_fract_x
_atom_site_fract_y
_atom_site_fract_z
Mg1 Mg 0.000 0.000 0.000
Tb1 Tb 0.500 0.500 0.500
Lu1 Lu 0.750 0.750 0.750
Lu2 Lu 0.250 0.250 0.250
```

---

b | # TbLu2Mg

An optimized crystal structure of TbLu2Mg (PBE, Alexandria via LeMat-Bulk).

Values from the calculation:
Size of the total moment, Bohr magnetons per cell: 0.00
Space-group type: No. 123

Structure (CIF):
```
data_TbLu2Mg
_chemical_formula_sum 'Tb1 Lu2 Mg1'
_cell_length_a 3.512
_cell_length_b 3.512
_cell_length_c 9.265
_cell_angle_alpha 90.00
_cell_angle_beta 90.00
_cell_angle_gamma 90.00
_space_group_name_H-M_alt 'P 1'
_space_group_IT_number 1
_space_group_name_Hall 'P 1'
loop_
_atom_site_label
_atom_site_type_symbol
_atom_site_fract_x
_atom_site_fract_y
_atom_site_fract_z
Lu1 Lu 0.000 0.000 0.237
Lu2 Lu 0.000 0.000 0.763
Tb1 Tb 0.500 0.500 0.500
Mg1 Mg 0.500 0.500 0.000
```

---

c | # TbLu2Mg

An optimized crystal structure of TbLu2Mg (PBE, Alexandria via LeMat-Bulk).

Values from the calculation:
Size of the total moment, Bohr magnetons per cell: 0.00
Space-group type: No. 123

Structure (CIF):
```
data_TbLu2Mg
_chemical_formula_sum 'Tb1 Lu2 Mg1'
_cell_length_a 4.892
_cell_length_b 4.834
_cell_length_c 4.834
_cell_angle_alpha 90.00
_cell_angle_beta 90.00
_cell_angle_gamma 90.00
_space_group_name_H-M_alt 'P 1'
_space_group_IT_number 1
_space_group_name_Hall 'P 1'
loop_
_atom_site_label
_atom_site_type_symbol
_atom_site_fract_x
_atom_site_fract_y
_atom_site_fract_z
Mg1 Mg 0.500 0.000 0.000
Lu1 Lu 0.000 0.500 0.000
Lu2 Lu 0.000 0.000 0.500
Tb1 Tb 0.500 0.500 0.500
```

---

Most stable = b